# 1
Li4Si | GGA-PBE | optimized geometry

Cell and atoms, written as CIF:
```
data_Li4Si
_chemical_formula_sum 'Li4 Si1'
_symmetry_space_group_name_H-M 'P m -3 m'
_symmetry_Int_Tables_number 221
_symmetry_space_group_name_Hall '-P 4 2 3'
_cell_length_a 4.8445
_cell_length_b 4.8445
_cell_length_c 4.8445
_cell_angle_alpha 90.00
_cell_angle_beta 90.00
_cell_angle_gamma 90.00
loop_
_atom_site_label
_atom_site_fract_x
_atom_site_fract_y
_atom_site_fract_z
Li1 0.0000 0.0000 0.0000
Li2 0.0000 0.5000 0.5000
Si1 0.5000 0.5000 0.5000
```

M_tot in μB per formula unit: 0.0
Raw formation energy in meV/atom: 55



# 2
LiSi3 | GGA-PBE | optimized geometry

Cell and atoms, written as CIF:
```
data_LiSi3
_chemical_formula_sum 'Li2 Si6'
_symmetry_space_group_name_H-M 'P m m n'
_symmetry_Int_Tables_number 59
_cell_length_a 4.5020
_cell_length_b 5.4781
_cell_length_c 4.6676
_cell_angle_alpha 90.00
_cell_angle_beta 90.00
_cell_angle_gamma 90.00
loop_
_symmetry_equiv_pos_as_xyz
'x,y,z'
'-x,-y,-z'
'-x+1/2,-y+1/2,z'
'x+1/2,y+1/2,-z'
'x+1/2,-y,-z'
'-x+1/2,y,z'
'-x,y+1/2,-z'
'x,-y+1/2,z'
loop_
_atom_site_label
_atom_site_fract_x
_atom_site_fract_y
_atom_site_fract_z
Li1 0.2500 0.2500 0.1717
Si1 0.2500 0.0276 0.6539
Si2 0.2500 0.7500 0.1058
```

M_tot in μB per formula unit: 0.0
Raw formation energy in meV/atom: 190



# 3
LiSi3 | GGA-PBE | optimized geometry

Cell and atoms, written as CIF:
```
data_LiSi3
_chemical_formula_sum 'Li1 Si3'
_symmetry_space_group_name_H-M 'P m -3 m'
_symmetry_Int_Tables_number 221
_symmetry_space_group_name_Hall '-P 4 2 3'
_cell_length_a 3.8574
_cell_length_b 3.8574
_cell_length_c 3.8574
_cell_angle_alpha 90.00
_cell_angle_beta 90.00
_cell_angle_gamma 90.00
loop_
_atom_site_label
_atom_site_fract_x
_atom_site_fract_y
_atom_site_fract_z
Li1 0.0000 0.0000 0.0000
Si1 0.0000 0.5000 0.5000
```

M_tot in μB per formula unit: 0.0
Raw formation energy in meV/atom: 158